Below is a geometry-optimized PuPbIO2 structure, with properties calculated at the PBE-GGA level.

The structure in POSCAR format:
```
PuPbIO2
1.0
7.463 0.000 0.000
0.000 4.135 0.000
-2.338 0.000 8.038
Pu Pb I O
2 2 2 4
direct
0.148 0.250 0.417
0.852 0.750 0.583
0.165 0.250 0.923
0.835 0.750 0.077
0.455 0.750 0.702
0.545 0.250 0.298
0.012 0.250 0.137
0.018 0.750 0.391
0.982 0.250 0.609
0.988 0.750 0.863
```

Summary:
Raw formation energy in eV/atom: -1.8379
Magnetization in μB per cell: 10.00